Entry 1:
Below is HoAlZn2Cu4 after structural relaxation, with properties calculated at the PBE level. Values from VASP.

Quantum ESPRESSO input file:
```
&SYSTEM
  ibrav = 0, nat = 8, ntyp = 4
/
ATOMIC_SPECIES
Ho 164.93 Ho.upf
Al 26.98 Al.upf
Zn 65.41 Zn.upf
Cu 63.55 Cu.upf
CELL_PARAMETERS angstrom
2.1002 1.2126 8.0717
-2.1002 1.2126 8.0717
0.0000 -2.4251 8.0717
ATOMIC_POSITIONS crystal
Ho 0.0000 0.0000 0.0000
Al 0.5000 0.5000 0.5000
Zn 0.2437 0.2437 0.2437
Zn 0.7563 0.7563 0.7563
Cu 0.1298 0.1298 0.1298
Cu 0.3999 0.3999 0.3999
Cu 0.6001 0.6001 0.6001
Cu 0.8702 0.8702 0.8702
```

Properties
Calculated formation energy: -0.180 eV/atom
Symmetry: R-3m, No. 166
Crystal system: trigonal



Entry 2:
Below is HfBSeN2 after structural relaxation, with properties calculated at the PBE level. Values from VASP.

Quantum ESPRESSO input file:
```
&SYSTEM
  ibrav = 0, nat = 5, ntyp = 4
/
ATOMIC_SPECIES
Hf 178.49 Hf.upf
B 10.81 B.upf
Se 78.96 Se.upf
N 14.01 N.upf
CELL_PARAMETERS angstrom
3.6139 0.0000 0.0000
0.0000 3.6139 0.0000
0.0000 0.0000 4.4227
ATOMIC_POSITIONS crystal
Hf 0.0000 0.0000 0.0000
B 0.5000 0.5000 0.5000
Se 0.5000 0.5000 0.0000
N 0.0000 0.5000 0.5000
N 0.5000 0.0000 0.5000
```

Properties
E above lowest polymorph: 0 meV per atom
Symmetry: P4/mmm, No. 123
Energy relative to the elements, uncorrected: 4.06 eV/f.u.
Crystal system: tetragonal



Entry 3:
Below is Na2SbPd2 after structural relaxation, with properties calculated at the PBE level. Values from VASP.

Quantum ESPRESSO input file:
```
&SYSTEM
  ibrav = 0, nat = 5, ntyp = 3
/
ATOMIC_SPECIES
Na 22.99 Na.upf
Sb 121.76 Sb.upf
Pd 106.42 Pd.upf
CELL_PARAMETERS angstrom
4.0100 -2.3185 0.0000
4.0100 2.3185 0.0000
-2.6576 0.0000 5.5175
ATOMIC_POSITIONS crystal
Na 0.2021 0.2021 0.1055
Na 0.7979 0.7979 0.8945
Sb 0.0000 0.0000 0.5000
Pd 0.3725 0.3725 0.6178
Pd 0.6275 0.6275 0.3822
```

Properties
E above lowest polymorph: 41 meV per atom
Symmetry: C2/m, No. 12
Energy relative to the elements, uncorrected: -1.72 eV/f.u.
Crystal system: monoclinic